This record from Alexandria describes an optimized crystal structure of CdI. The functional is PBE.

abc: 16.9649 4.3047 7.0552
angles: 90.00 90.00 90.00
With the nearest neighbours (Å) after each atom.
Sites, in units of the cell vectors:
Cd (0.0000, 0.2463, 0.0000)  4 Cd 3.17, 2 I 3.18-3.19
Cd (0.0825, 0.7469, 0.2642)  1 Cd 2.80, 2 I 2.88
Cd (0.4175, 0.2531, 0.7642)  1 Cd 2.80, 2 I 2.88
Cd (0.5000, 0.7537, 0.5000)  4 Cd 3.17, 2 I 3.18-3.19
Cd (0.5825, 0.2531, 0.7642)  1 Cd 2.80, 2 I 2.88
Cd (0.9175, 0.7469, 0.2642)  1 Cd 2.80, 2 I 2.88
I (0.0000, 0.7452, 0.6674)  4 Cd 3.17-3.19
I (0.1953, 0.2471, 0.2768)  2 Cd 2.88
I (0.3047, 0.7529, 0.7768)  2 Cd 2.88
I (0.5000, 0.2548, 0.1674)  4 Cd 3.17-3.19
I (0.6953, 0.7529, 0.7768)  2 Cd 2.88
I (0.8047, 0.2471, 0.2768)  2 Cd 2.88

Results
Crystal system   orthorhombic
Calculated density   4628 kg/m³
E_form (uncorrected)   -309 meV per atom